(1)
{"formula": "Ca2IrOs", "functional": "PBE", "state": "relaxed", "lattice": [[5.2581, 0.0103, 0.0000], [1.8128, 4.9357, 0.0000], [-3.5355, -2.4730, 3.0054]], "species": ["Ir", "Ca", "Ca", "Os"], "frac_coords": [[0.2500, 0.7500, 0.5000], [0.5000, 0.5000, 0.0000], [0.0000, 0.0000, 0.0000], [0.7500, 0.2500, 0.5000]], "m_tot_mub_per_fu": 0.8, "polymorph_energy_kj_per_mol_atoms": 40.4, "sg": "I4/mmm", "n_ef_per_ev_cell": 5.2, "formation_energy_ev_per_atom": 0.41}


(2)
{"formula": "VReBi2W", "functional": "PBE", "state": "relaxed", "lattice": [[-1.0202, 3.3426, 3.9758], [1.7268, -3.0917, 3.0424], [4.8111, 2.1353, -0.5608]], "species": ["W", "Bi", "Bi", "V", "Re"], "frac_coords": [[0.5000, 0.5000, 0.5000], [0.0000, 0.0000, 0.5000], [0.5000, 0.0000, 0.0000], [0.0000, 0.5000, 0.0000], [0.0000, 0.0000, 0.0000]], "m_tot_mub_per_fu": 5.6, "polymorph_energy_kj_per_mol_atoms": 1.8, "sg": "P4/mmm", "n_ef_per_ev_cell": 4.7, "formation_energy_ev_per_atom": 1.88}


(3)
{"formula": "Nd3Ho2Er6", "functional": "PBE", "state": "relaxed", "lattice": [[-1.5629, 1.6406, 5.2115], [-6.3133, 2.1047, 0.5424], [-4.6073, -8.0554, 7.3376]], "species": ["Er", "Er", "Er", "Er", "Er", "Er", "Ho", "Ho", "Nd", "Nd", "Nd"], "frac_coords": [[0.5452, 0.3005, 0.3039], [0.8456, 0.6995, 0.3039], [0.4548, 0.6995, 0.6961], [0.1544, 0.3005, 0.6961], [0.2871, 0.0000, 0.2122], [0.7129, 0.0000, 0.7878], [0.8678, 0.2644, 0.5000], [0.1322, 0.7356, 0.5000], [0.7066, 0.5869, 0.0000], [0.2934, 0.4131, 0.0000], [0.0000, 0.0000, 0.0000]], "m_tot_mub_per_fu": 0.0, "polymorph_energy_kj_per_mol_atoms": 0.0, "sg": "C2/m", "n_ef_per_ev_cell": 16.4, "formation_energy_ev_per_atom": 0.16}


(4)
{"formula": "Er6AgSb3", "functional": "PBE", "state": "relaxed", "lattice": [[7.2030, 0.0000, 0.0000], [0.0000, 9.2262, 0.0076], [0.0000, -2.0514, 8.9953]], "species": ["Er", "Er", "Er", "Er", "Er", "Er", "Er", "Er", "Er", "Er", "Er", "Er", "Ag", "Ag", "Sb", "Sb", "Sb", "Sb", "Sb", "Sb"], "frac_coords": [[0.7517, 0.9289, 0.4725], [0.6538, 0.2808, 0.3927], [0.7517, 0.5275, 0.0711], [0.7402, 0.9908, 0.0092], [0.1538, 0.7192, 0.6073], [0.6538, 0.6073, 0.7192], [0.2517, 0.0711, 0.5275], [0.2517, 0.4725, 0.9289], [0.1127, 0.7619, 0.2381], [0.2402, 0.0092, 0.9908], [0.6127, 0.2381, 0.7619], [0.1538, 0.3927, 0.2808], [0.5127, 0.8151, 0.1849], [0.0127, 0.1849, 0.8151], [0.3274, 0.4102, 0.5898], [0.9906, 0.0923, 0.2742], [0.4906, 0.2742, 0.0923], [0.8274, 0.5898, 0.4102], [0.9906, 0.7258, 0.9077], [0.4906, 0.9077, 0.7258]], "m_tot_mub_per_fu": 0.0, "e_form_raw_ev_per_atom": -0.539, "sg": "Cmc2_1", "n_ef_per_ev_cell": 18.2}


(5)
{"formula": "Li2TcCl", "functional": "PBE", "state": "relaxed", "lattice": [[-2.7616, 0.3240, -0.2119], [-0.3311, -2.7676, 0.0833], [-0.5500, 0.2952, 7.6189]], "species": ["Cl", "Tc", "Li", "Li"], "frac_coords": [[0.5000, 0.5000, 0.7500], [0.5000, 0.5000, 0.2500], [0.0000, 0.0000, 0.5480], [0.0000, 0.0000, 0.9520]], "m_tot_mub_per_fu": 0.0, "e_form_raw_ev_per_atom": -0.228, "polymorph_energy_kj_per_mol_atoms": 2.8, "sg": "P4/mmm", "n_ef_per_ev_cell": 1.3}


(6)
{"formula": "SnPd15Pb4", "functional": "PBE", "state": "relaxed", "lattice": [[-1.8045, -0.8245, -3.5819], [-2.5199, -2.6274, 1.8743], [-13.3928, 15.1675, 3.2555]], "species": ["Pb", "Pb", "Pb", "Pb", "Pd", "Pd", "Pd", "Pd", "Pd", "Pd", "Pd", "Pd", "Pd", "Pd", "Pd", "Pd", "Pd", "Pd", "Pd", "Sn"], "frac_coords": [[0.0000, 0.0000, 0.3993], [0.0000, 0.0000, 0.8023], [0.0000, 0.0000, 0.1977], [0.0000, 0.0000, 0.6007], [0.5000, 0.0000, 0.5000], [0.5000, 0.0000, 0.0961], [0.0000, 0.5000, 0.0961], [0.5000, 0.5000, 0.6007], [0.0000, 0.5000, 0.2985], [0.5000, 0.5000, 0.8023], [0.5000, 0.5000, 0.3993], [0.5000, 0.0000, 0.7015], [0.5000, 0.0000, 0.9039], [0.0000, 0.5000, 0.5000], [0.5000, 0.0000, 0.2985], [0.5000, 0.5000, 0.1977], [0.5000, 0.5000, 0.0000], [0.0000, 0.5000, 0.7015], [0.0000, 0.5000, 0.9039], [0.0000, 0.0000, 0.0000]], "m_tot_mub_per_fu": 0.0, "sg": "P4/mmm", "n_ef_per_ev_cell": 4.4, "formation_energy_ev_per_atom": -0.33}


(7)
{"formula": "HfScS", "functional": "PBE", "state": "relaxed", "lattice": [[-0.3769, 1.0147, -3.4137], [-1.2670, -4.0862, -1.0747], [-3.0035, 2.9911, 1.2207]], "species": ["S", "Hf", "Sc"], "frac_coords": [[0.1662, 0.3333, 0.6667], [0.1668, 0.0000, 0.0000], [0.6671, 0.6667, 0.3333]], "m_tot_mub_per_fu": 0.0, "e_form_raw_ev_per_atom": -0.471, "sg": "P-6m2", "n_ef_per_ev_cell": 1.5}


(8)
{"formula": "Sr3HfI", "functional": "PBE", "state": "relaxed", "lattice": [[6.1583, 0.0000, 0.0000], [0.0000, 6.1583, 0.0000], [0.0000, 0.0000, 6.1583]], "species": ["I", "Hf", "Sr", "Sr", "Sr"], "frac_coords": [[0.0000, 0.0000, 0.0000], [0.5000, 0.5000, 0.5000], [0.0000, 0.0000, 0.5000], [0.5000, 0.0000, 0.0000], [0.0000, 0.5000, 0.0000]], "m_tot_mub_per_fu": 4.5, "e_form_raw_ev_per_atom": 0.469, "polymorph_energy_kj_per_mol_atoms": 0.0, "sg": "Pm-3m", "n_ef_per_ev_cell": 8.3}


(9)
{"formula": "Dy2Er5In", "functional": "PBE", "state": "relaxed", "lattice": [[7.0287, -0.0051, 0.0008], [0.0042, 8.2136, -0.3394], [-3.5164, -4.2745, 4.2709]], "species": ["Er", "Er", "Er", "Er", "Er", "Dy", "Dy", "In"], "frac_coords": [[0.6691, 0.2227, 0.8628], [0.2613, 0.7215, 0.0227], [0.1941, 0.2227, 0.8629], [0.7616, 0.7226, 0.0236], [0.7803, 0.7524, 0.5600], [0.6741, 0.2221, 0.3497], [0.2502, 0.6915, 0.5000], [0.1863, 0.2215, 0.3725]], "m_tot_mub_per_fu": 0.0, "sg": "P1", "n_ef_per_ev_cell": 9.3, "formation_energy_ev_per_atom": -0.11}


(10)
{"formula": "TlOsRu3", "functional": "PBE", "state": "relaxed", "lattice": [[-1.0736, -2.9754, 3.5099], [4.5416, -1.2640, 0.3176], [0.7389, 3.4459, 3.1471]], "species": ["Os", "Tl", "Ru", "Ru", "Ru"], "frac_coords": [[0.0000, 0.0000, 0.0000], [0.5000, 0.5000, 0.5000], [0.0000, 0.0000, 0.5000], [0.0000, 0.5000, 0.0000], [0.5000, 0.0000, 0.0000]], "m_tot_mub_per_fu": 1.2, "polymorph_energy_kj_per_mol_atoms": 0.0, "sg": "Pm-3m", "n_ef_per_ev_cell": 7.9, "formation_energy_ev_per_atom": 1.53}


(11)
{"formula": "Li2ZnPd4", "functional": "PBE", "state": "relaxed", "lattice": [[2.7411, 0.0000, 0.0000], [0.0000, 6.5644, 0.0423], [-1.3706, -3.1365, 5.6721]], "species": ["Li", "Li", "Pd", "Pd", "Pd", "Pd", "Zn"], "frac_coords": [[0.7736, 0.8340, 0.5472], [0.2264, 0.1660, 0.4528], [0.6356, 0.3940, 0.2711], [0.9170, 0.2751, 0.8340], [0.3644, 0.6060, 0.7289], [0.0830, 0.7249, 0.1660], [0.0000, 0.0000, 0.0000]], "m_tot_mub_per_fu": 0.0, "polymorph_energy_kj_per_mol_atoms": 0.0, "sg": "C2/m", "n_ef_per_ev_cell": 1.8, "formation_energy_ev_per_atom": -0.32}


(12)
{"formula": "SmAlPd3", "functional": "PBE", "state": "relaxed", "lattice": [[-1.5541, 2.6193, -4.5502], [-4.9270, 1.7890, 2.7126], [2.7843, 4.8644, 1.8492]], "species": ["Sm", "Sm", "Pd", "Pd", "Pd", "Pd", "Pd", "Pd", "Al", "Al"], "frac_coords": [[0.5000, 0.0000, 0.0000], [0.5000, 0.5000, 0.5000], [0.0000, 0.2500, 0.2500], [0.0000, 0.7500, 0.7500], [0.0000, 0.7500, 0.2500], [0.3289, 0.0000, 0.5000], [0.6711, 0.5000, 0.0000], [0.0000, 0.2500, 0.7500], [0.7598, 0.0000, 0.5000], [0.2402, 0.5000, 0.0000]], "m_tot_mub_per_fu": 0.0, "polymorph_energy_kj_per_mol_atoms": 0.0, "sg": "P4/nmm", "n_ef_per_ev_cell": 5.4, "formation_energy_ev_per_atom": -0.75}


(13)
{"formula": "Pm3Ag2Pd3", "functional": "PBE", "state": "relaxed", "lattice": [[5.7525, 0.0000, 0.0000], [0.0000, 7.4787, -4.3178], [0.0000, 0.0000, 8.6356]], "species": ["Pm", "Pm", "Pm", "Pm", "Pm", "Pm", "Ag", "Ag", "Ag", "Ag", "Pd", "Pd", "Pd", "Pd", "Pd", "Pd"], "frac_coords": [[0.7500, 0.0000, 0.2858], [0.2500, 0.7142, 0.0000], [0.2500, 0.0000, 0.7142], [0.7500, 0.7142, 0.7142], [0.2500, 0.2858, 0.2858], [0.7500, 0.2858, 0.0000], [0.5000, 0.6667, 0.3333], [0.0000, 0.6667, 0.3333], [0.0000, 0.3333, 0.6667], [0.5000, 0.3333, 0.6667], [0.2500, 0.3793, 0.0000], [0.7500, 0.0000, 0.6207], [0.7500, 0.6207, 0.0000], [0.2500, 0.6207, 0.6207], [0.7500, 0.3793, 0.3793], [0.2500, 0.0000, 0.3793]], "m_tot_mub_per_fu": 0.0, "sg": "P6_3/mcm", "n_ef_per_ev_cell": 10.3, "formation_energy_ev_per_atom": -0.55}


(14)
{"formula": "VInRhPb2", "functional": "PBE", "state": "relaxed", "lattice": [[5.3225, 0.0000, 0.0000], [0.0000, 4.6983, 0.0000], [0.0000, 0.0000, 5.3225]], "species": ["Rh", "V", "Pb", "Pb", "In"], "frac_coords": [[0.0000, 0.0000, 0.0000], [0.0000, 0.5000, 0.0000], [0.0000, 0.0000, 0.5000], [0.5000, 0.0000, 0.0000], [0.5000, 0.5000, 0.5000]], "m_tot_mub_per_fu": 0.0, "sg": "P4/mmm", "n_ef_per_ev_cell": 5.6, "formation_energy_ev_per_atom": 0.56}


(15)
{"formula": "Na2TcBr8", "functional": "PBE", "state": "relaxed", "lattice": [[5.6959, -0.0464, 1.2321], [1.6668, 8.3190, 0.5536], [-0.1213, -0.2054, 8.4991]], "species": ["Br", "Br", "Br", "Br", "Br", "Br", "Br", "Br", "Na", "Na", "Tc"], "frac_coords": [[0.7447, 0.5030, 0.5030], [0.3252, 0.8142, 0.8142], [0.2086, 0.2305, 0.9265], [0.2086, 0.9265, 0.2305], [0.6748, 0.1858, 0.1858], [0.2553, 0.4970, 0.4970], [0.7914, 0.7695, 0.0735], [0.7914, 0.0735, 0.7695], [0.8887, 0.7186, 0.7186], [0.1113, 0.2814, 0.2814], [0.0000, 0.0000, 0.0000]], "m_tot_mub_per_fu": 2.2, "e_form_raw_ev_per_atom": -0.655, "sg": "C2/m", "n_ef_per_ev_cell": 7.5}


(16)
{"formula": "ScCd2In2", "functional": "PBE", "state": "relaxed", "lattice": [[4.9425, 0.0000, -0.0001], [-2.4713, 4.2803, 0.0009], [-0.0003, 0.0031, 11.9429]], "species": ["Cd", "Cd", "Cd", "Cd", "In", "In", "In", "In", "Sc", "Sc"], "frac_coords": [[0.3333, 0.6667, 0.6167], [0.6667, 0.3333, 0.3833], [0.3333, 0.6667, 0.8833], [0.6667, 0.3333, 0.1167], [0.6667, 0.3333, 0.7500], [0.0000, 0.0000, 0.5000], [0.3333, 0.6667, 0.2500], [0.0000, 0.0000, 0.0000], [0.0000, 0.0000, 0.7500], [0.0000, 0.0000, 0.2500]], "m_tot_mub_per_fu": 0.0, "polymorph_energy_kj_per_mol_atoms": 0.0, "sg": "P6_3/mmc", "n_ef_per_ev_cell": 6.2, "formation_energy_ev_per_atom": -0.05}


(17)
{"formula": "K2YHoSe4", "functional": "PBE", "state": "relaxed", "lattice": [[-1.7212, -3.2070, -2.1096], [0.4224, -4.1534, 5.9694], [-7.1352, 3.7351, 0.1435]], "species": ["Se", "Se", "Se", "Se", "K", "K", "Y", "Ho"], "frac_coords": [[0.0000, 0.7335, 0.2046], [0.5000, 0.7638, 0.7948], [0.0000, 0.2665, 0.7954], [0.5000, 0.2362, 0.2052], [0.0000, 0.5000, 0.5000], [0.5000, 0.0000, 0.5000], [0.0000, 0.0000, 0.0000], [0.5000, 0.5000, 0.0000]], "m_tot_mub_per_fu": 0.0, "e_form_raw_ev_per_atom": -1.767, "sg": "P2/m", "n_ef_per_ev_cell": 0.0}


(18)
{"formula": "Li2InW2", "functional": "PBE", "state": "relaxed", "lattice": [[-6.3749, 0.6148, 4.2323], [-3.1761, -5.7681, -3.9461], [1.0698, -1.8781, 1.8842]], "species": ["W", "W", "W", "W", "Li", "Li", "Li", "Li", "In", "In"], "frac_coords": [[0.3902, 0.8902, 0.0000], [0.8902, 0.6098, 0.0000], [0.1098, 0.3902, 0.0000], [0.6098, 0.1098, 0.0000], [0.3150, 0.1850, 0.5000], [0.1850, 0.6850, 0.5000], [0.6850, 0.8150, 0.5000], [0.8150, 0.3150, 0.5000], [0.5000, 0.5000, 0.0000], [0.0000, 0.0000, 0.0000]], "m_tot_mub_per_fu": 0.0, "polymorph_energy_kj_per_mol_atoms": 0.0, "sg": "P4/mbm", "n_ef_per_ev_cell": 6.2, "formation_energy_ev_per_atom": 0.73}


(19)
{"formula": "TaCrTeN2", "functional": "PBE", "state": "relaxed", "lattice": [[-1.6570, 3.6297, 0.4060], [-1.5808, -0.3108, -3.6728], [-4.8668, -2.4796, 2.3046]], "species": ["N", "N", "Te", "Cr", "Ta"], "frac_coords": [[0.5000, 0.0000, 0.0000], [0.0000, 0.5000, 0.0000], [0.0000, 0.0000, 0.5000], [0.5000, 0.5000, 0.5000], [0.0000, 0.0000, 0.0000]], "m_tot_mub_per_fu": 4.8, "e_form_raw_ev_per_atom": 0.347, "polymorph_energy_kj_per_mol_atoms": 0.0, "sg": "P4/mmm", "n_ef_per_ev_cell": 3.6}


(20)
{"formula": "MgSi4Os", "functional": "PBE", "state": "relaxed", "lattice": [[3.1592, -2.0392, 3.2778], [-0.6850, -4.6969, 1.5338], [3.1434, -3.5856, -1.4647]], "species": ["Si", "Si", "Si", "Si", "Mg", "Os"], "frac_coords": [[0.3743, 0.8771, 0.3743], [0.3743, 0.3743, 0.3743], [0.3743, 0.3743, 0.8771], [0.8771, 0.3743, 0.3743], [0.7500, 0.7500, 0.7500], [0.0000, 0.0000, 0.0000]], "m_tot_mub_per_fu": 0.0, "e_form_raw_ev_per_atom": 0.520, "sg": "F-43m", "n_ef_per_ev_cell": 4.7}


no.,final energy (eV/atom)
1,-5.6099
2,-6.5779
3,-4.4606
4,-4.7989
5,-4.2379
6,-5.1707
7,-7.2755
8,-2.8411
9,-4.4541
10,-6.7578
11,-4.0181
12,-5.5630
13,-4.9909
14,-4.7631
15,-3.0542
16,-2.7737
17,-5.1642
18,-5.7642
19,-7.9070
20,-5.2323